# 1
First-principles (SCAN) data for a PBEsol-optimized structure of Rb2Si3SnO9, as listed in Alexandria.

Values from the calculation:
Magnetization ... 0.0 μB per formula unit
Formation energy (no corrections) ... -259.7 kJ per mole of atoms

Cell lengths 6.9991, 6.9991, 10.1126 Å; angles 90.00, 90.00, 120.00 degrees
With the nearest neighbours (Å) after each atom.
Space group P6_3/m (No. 176)
Symmetry-distinct sites (fractional):
Rb 0.3333 0.6667 0.0583 [4 per cell]  9 O 2.90-3.22
Si 0.1352 0.7524 0.7500 [6 per cell]  4 O 1.61-1.67
Sn 0.0000 0.0000 0.0000 [2 per cell]  6 O 2.05
O 0.0284 0.7731 0.6134 [12 per cell]  1 Si 1.61
O 0.0868 0.4935 0.7500 [6 per cell]  2 Si 1.65-1.67

---

# 2
First-principles (SCAN) data for a PBEsol-optimized structure of Na2TaPd2, as listed in Alexandria.

Values from the calculation:
Magnetization ... 0.0 μB per formula unit
Energy relative to the elements ... 0.7877 eV/atom

Cell lengths 4.6348, 4.6348, 7.9701 Å; angles 90.00, 90.00, 90.00 degrees
With the nearest neighbours (Å) after each atom.
Space group I4/mmm (No. 139)
Symmetry-distinct sites (fractional):
Na 0.0000 0.0000 0.1272 [4 per cell]  1 Na 2.03
Ta 0.0000 0.0000 0.5000 [2 per cell]  2 Na 2.97, 8 Pd 3.06
Pd 0.0000 0.5000 0.2500 [4 per cell]  4 Na 2.52

---

# 3
First-principles (SCAN) data for a PBEsol-optimized structure of NiPbCl2, as listed in Alexandria.

Values from the calculation:
Magnetization ... 1.5 μB per formula unit
Formation energy (no corrections) ... -59.7 kJ per mole of atoms

Cell lengths 3.4203, 3.4203, 24.1486 Å; angles 90.00, 90.00, 120.00 degrees
With the nearest neighbours (Å) after each atom.
Space group R-3m (No. 166, hexagonal axes)
Symmetry-distinct sites (fractional):
Ni 0.0000 0.0000 0.0000 [3 per cell]  6 Cl 2.38
Pb 0.0000 0.0000 0.5000 [3 per cell]  6 Cl 3.34, 6 Pb 3.42
Cl 0.0000 0.0000 0.2782 [6 per cell]  3 Ni 2.38